Here is a geometry-optimized TlAgBi2Te4 structure from the Alexandria database. Energies are from PBE.

DOS(E_F)   0.47 states/eV per cell
Space-group type   Cmcm
E   -54.2 eV/cell

Unit cell a=4.550 b=7.779 c=16.111 alpha=90.00 beta=90.00 gamma=107.00
Element x y z (fractional)
Te (0.000, 0.000, 0.500)
Te (0.273, 0.547, 0.390)
Bi (0.634, 0.268, 0.433)
Te (0.727, 0.453, 0.890)
Tl (0.877, 0.753, 0.250)
Bi (0.366, 0.732, 0.567)
Te (0.000, 0.000, 0.000)
Tl (0.123, 0.247, 0.750)
Ag (0.847, 0.695, 0.750)
Te (0.545, 0.090, 0.250)
Ag (0.153, 0.305, 0.250)
Bi (0.634, 0.268, 0.067)
Te (0.727, 0.453, 0.610)
Te (0.455, 0.910, 0.750)
Te (0.273, 0.547, 0.110)
Bi (0.366, 0.732, 0.933)


Here is a geometry-optimized LaNb2N structure from the Alexandria database. Energies are from PBE.

DOS(E_F)   11.05 states/eV per cell
Space-group type   Fd-3m
E   -67.6 eV/cell

Unit cell a=6.460 b=6.460 c=6.461 alpha=60.01 beta=60.01 gamma=90.00
Element x y z (fractional)
La (0.000, 0.000, 0.000)
Nb (0.875, 0.624, 0.750)
La (0.750, 0.250, 0.500)
Nb (0.374, 0.125, 0.250)
Nb (0.376, 0.625, 0.250)
Nb (0.375, 0.626, 0.750)
N (0.250, 0.750, 0.500)
N (0.500, 0.500, 0.000)


Here is a geometry-optimized Na2PuCd3O6 structure from the Alexandria database. Energies are from PBE.

DOS(E_F)   8.01 states/eV per cell
Space-group type   C2/m
E   -69.3 eV/cell

Unit cell a=5.912 b=5.912 c=5.759 alpha=99.77 beta=99.77 gamma=120.03
Each line ends with the local moment (μB).
Element x y z (fractional)
O (0.603, 0.916, 0.748)  -0.03
Cd (0.827, 0.173, 0.500)  0.00
O (0.084, 0.397, 0.252)  -0.03
Cd (0.173, 0.827, 0.500)  0.00
O (0.775, 0.775, 0.235)  -0.06
Cd (0.500, 0.500, 0.500)  0.00
O (0.225, 0.225, 0.765)  -0.06
Pu (0.000, 0.000, 0.000)  4.17
O (0.397, 0.084, 0.252)  -0.03
Na (0.334, 0.666, 0.000)  0.00
O (0.916, 0.603, 0.748)  -0.03
Na (0.666, 0.334, 0.000)  0.00


What did the third record say?
Here is a geometry-optimized Na2PuCd3O6 structure from the Alexandria database. Energies are from PBE.

DOS(E_F)   8.01 states/eV per cell
Space-group type   C2/m
E   -69.3 eV/cell

Unit cell a=5.912 b=5.912 c=5.759 alpha=99.77 beta=99.77 gamma=120.03
Each line ends with the local moment (μB).
Element x y z (fractional)
O (0.603, 0.916, 0.748)  -0.03
Cd (0.827, 0.173, 0.500)  0.00
O (0.084, 0.397, 0.252)  -0.03
Cd (0.173, 0.827, 0.500)  0.00
O (0.775, 0.775, 0.235)  -0.06
Cd (0.500, 0.500, 0.500)  0.00
O (0.225, 0.225, 0.765)  -0.06
Pu (0.000, 0.000, 0.000)  4.17
O (0.397, 0.084, 0.252)  -0.03
Na (0.334, 0.666, 0.000)  0.00
O (0.916, 0.603, 0.748)  -0.03
Na (0.666, 0.334, 0.000)  0.00


- What is the E in the third record?
  -69.3 eV/cell


Repeat the second record exactly.
Here is a geometry-optimized LaNb2N structure from the Alexandria database. Energies are from PBE.

DOS(E_F)   11.05 states/eV per cell
Space-group type   Fd-3m
E   -67.6 eV/cell

Unit cell a=6.460 b=6.460 c=6.461 alpha=60.01 beta=60.01 gamma=90.00
Element x y z (fractional)
La (0.000, 0.000, 0.000)
Nb (0.875, 0.624, 0.750)
La (0.750, 0.250, 0.500)
Nb (0.374, 0.125, 0.250)
Nb (0.376, 0.625, 0.250)
Nb (0.375, 0.626, 0.750)
N (0.250, 0.750, 0.500)
N (0.500, 0.500, 0.000)